Record 1
The following is a DFT calculation (PBE with a Hubbard U) of crystalline NiBI2O at its relaxed geometry.

```
NiBI2O
1.0
5.543 0.000 0.000
0.000 5.543 0.000
0.000 0.000 2.906
I Ni O B
2 1 1 1
direct
0.500 0.000 0.000
0.000 0.500 0.000
0.500 0.500 0.500
0.000 0.000 0.500
0.000 0.000 0.000
```



Record 2
The following is a DFT calculation (PBE with a Hubbard U) of crystalline NiBI2O at its relaxed geometry.

```
NiBI2O
1.0
-3.911 -3.104 -2.660
-1.749 -2.056 4.972
-2.314 2.668 0.289
O I B Ni
1 2 1 1
direct
0.000 0.000 0.500
0.000 0.500 0.000
0.500 0.000 0.000
0.500 0.500 0.500
0.000 0.000 0.000
```



Across the entries above, energy above the lowest structure with this stoichiometry takes the values 0 354 meV/atom, respectively.